[1]
A relaxed BeTlHg3 crystal. Source: Alexandria, functional PBE.

Results
crystal system = cubic
ΔH_f (0 K) = 0.7 eV/f.u.
ΔE to the lowest computed polymorph = 0.000 eV per formula unit
calculated volume = 24.3 Å³/atom

The structure in POSCAR format:
```
BeTlHg3
1.0
-2.725 -1.315 3.925
2.236 -4.422 0.071
3.483 1.810 3.025
Hg Be Tl
3 1 1
Cartesian
1.742 0.905 1.512
-1.362 -0.658 1.962
1.118 -2.211 0.035
0.000 0.000 0.000
1.497 -1.963 3.510
```

***

[2]
A relaxed NaLaAu2 crystal. Source: Alexandria, functional PBE.

Results
crystal system = trigonal
ΔH_f (0 K) = -2.0 eV/f.u.
ΔE to the lowest computed polymorph = 0.516 eV per formula unit
calculated volume = 27.9 Å³/atom

The structure in POSCAR format:
```
NaLaAu2
1.0
-0.556 -1.070 4.155
-2.850 -3.070 1.081
3.793 -6.156 1.175
La Au Na
1 2 1
Cartesian
1.477 -8.873 4.670
2.468 -4.873 1.328
0.169 -2.644 1.594
0.258 -5.211 3.198
```

***

[3]
A relaxed SrDy2Ru crystal. Source: Alexandria, functional PBE.

Results
crystal system = trigonal
ΔH_f (0 K) = 0.1 eV/f.u.
ΔE to the lowest computed polymorph = 0.803 eV per formula unit
calculated volume = 35.7 Å³/atom

The structure in POSCAR format:
```
SrDy2Ru
1.0
-3.547 1.235 -1.163
-3.168 -2.238 0.641
-3.683 4.417 9.282
Sr Dy Ru
1 2 1
Cartesian
0.000 0.000 0.000
-7.233 0.699 2.864
-3.166 2.716 5.896
-5.199 1.707 4.380
```

***

[4]
A relaxed KHf2Cl2 crystal. Source: Alexandria, functional PBE.

Results
crystal system = tetragonal
raw formation energy = -478 meV/atom
ΔE to the lowest computed polymorph = 0.000 eV per formula unit
calculated volume = 25.1 Å³/atom

The structure in POSCAR format:
```
KHf2Cl2
1.0
4.111 0.000 0.000
0.000 4.111 0.000
2.055 2.055 7.434
Cl K Hf
2 1 2
Cartesian
2.055 2.055 1.787
4.111 4.111 5.646
0.000 0.000 0.000
2.055 4.111 3.717
4.111 2.055 3.717
```

***

[5]
A relaxed Th4MgGa12 crystal. Source: Alexandria, functional PBE.

Results
crystal system = cubic
ΔH_f (0 K) = -8.3 eV/f.u.
calculated volume = 21.0 Å³/atom

The structure in POSCAR format:
```
Th4MgGa12
1.0
-3.453 6.060 3.366
-0.585 0.642 -7.696
-3.438 -6.542 2.313
Ga Th Mg
12 4 1
Cartesian
-2.175 -0.152 1.793
-4.451 -1.716 1.494
-3.741 3.231 -0.745
-4.455 1.434 1.757
-3.021 -1.275 -3.774
-4.715 -0.330 3.886
-1.270 -1.863 -1.699
-3.734 -3.071 -1.271
-2.763 4.586 -2.963
-2.753 -4.038 -3.683
-3.024 1.876 -3.510
-1.275 2.116 -1.367
-1.726 3.030 1.683
-3.738 0.080 -1.008
-0.292 0.321 -3.848
-1.719 -3.271 1.157
0.000 0.000 0.000
```

***

[6]
A relaxed Sm7TmIn4 crystal. Source: Alexandria, functional PBE.

Results
crystal system = monoclinic
ΔH_f (0 K) = -1.5 eV/f.u.
calculated volume = 31.0 Å³/atom

The structure in POSCAR format:
```
Sm7TmIn4
1.0
-0.086 5.564 1.538
1.457 0.460 9.253
7.298 2.879 0.828
Sm In Tm
7 4 1
Cartesian
5.844 7.502 5.695
2.008 4.811 4.380
2.825 1.401 5.924
-0.043 2.782 0.769
5.095 6.352 9.812
6.661 4.092 7.239
3.575 2.551 1.807
3.711 3.859 7.918
0.662 2.008 3.608
4.959 5.044 3.700
8.008 6.895 8.011
0.000 0.000 0.000
```

***

[7]
A relaxed Nd2SmGe2Pt7 crystal. Source: Alexandria, functional PBE.

Results
crystal system = monoclinic
ΔH_f (0 K) = -11.4 eV/f.u.
calculated volume = 20.0 Å³/atom

The structure in POSCAR format:
```
Nd2SmGe2Pt7
1.0
-0.124 2.166 -3.519
3.168 -2.180 -1.514
-7.922 -9.309 -7.170
Pt Ge Sm Nd
7 2 1 2
Cartesian
-2.245 -3.996 -4.977
0.059 -0.374 -5.109
-4.937 -8.949 -7.095
1.522 -0.007 -2.517
1.702 -2.542 -4.109
-2.633 -5.327 -7.226
-6.579 -6.781 -8.095
-0.771 -2.374 -3.881
-4.107 -6.949 -8.322
0.000 0.000 0.000
-4.753 -5.988 -5.175
-0.125 -3.336 -7.028
```

***

[8]
A relaxed MoWSe2 crystal. Source: Alexandria, functional PBE.

Results
crystal system = monoclinic
raw formation energy = 682 meV/atom
ΔE to the lowest computed polymorph = 3.349 eV per formula unit
calculated volume = 17.4 Å³/atom

The structure in POSCAR format:
```
MoWSe2
1.0
-1.429 -1.788 -5.149
-0.140 -4.773 2.991
-2.489 -1.011 0.023
Se Mo W
2 1 1
Cartesian
-0.785 -3.280 -1.079
0.000 0.000 0.000
-1.314 -2.892 1.507
-1.959 -1.399 -2.563
```

***

[9]
A relaxed GeTe2PbO8 crystal. Source: Alexandria, functional PBE.

Results
crystal system = trigonal
raw formation energy = -782 meV/atom
calculated volume = 14.5 Å³/atom

The structure in POSCAR format:
```
GeTe2PbO8
1.0
5.166 0.000 0.000
2.583 4.474 0.000
2.583 1.491 7.507
Te Pb O Ge
2 1 8 1
Cartesian
2.583 1.491 2.320
7.749 4.474 5.188
0.000 0.000 0.000
7.749 4.474 7.032
4.579 4.352 5.032
2.583 1.491 0.476
6.645 2.807 5.032
4.274 4.176 2.475
4.579 1.614 2.475
6.645 3.159 2.475
4.274 1.790 5.032
5.166 2.983 3.754
```

***

[10]
A relaxed LiTa5 crystal. Source: Alexandria, functional PBE.

Results
crystal system = cubic
ΔH_f (0 K) = 3.2 eV/f.u.
ΔE to the lowest computed polymorph = 1.795 eV per formula unit
calculated volume = 19.3 Å³/atom

The structure in POSCAR format:
```
LiTa5
1.0
0.832 -5.268 -1.231
-4.220 -3.485 -0.108
-1.770 -2.007 -4.775
Ta Li
5 1
Cartesian
-3.214 -6.704 -3.809
-3.623 -4.111 -3.203
-2.342 -5.716 -1.459
-1.137 -4.989 -3.756
-1.289 -2.690 -1.529
0.000 0.000 0.000
```

***

[11]
A relaxed La8HgRu3Br4 crystal. Source: Alexandria, functional PBE.

Results
crystal system = trigonal
raw formation energy = -926 meV/atom
calculated volume = 31.0 Å³/atom

The structure in POSCAR format:
```
La8HgRu3Br4
1.0
8.513 0.000 0.000
0.000 9.290 0.547
-4.257 -4.257 6.020
La Ru Hg Br
8 3 1 4
Cartesian
4.257 0.648 3.241
0.000 0.502 3.363
4.257 4.532 3.204
1.970 2.416 6.111
6.227 2.618 0.456
0.000 4.386 3.325
-1.970 2.416 6.111
2.287 2.618 0.456
-2.128 2.517 3.283
4.257 4.645 0.273
2.128 2.517 3.283
0.000 4.645 0.273
0.000 0.000 0.000
2.128 -2.128 3.010
-2.128 -2.128 3.010
4.257 0.000 0.000
```

***

[12]
A relaxed KRu2 crystal. Source: Alexandria, functional PBE.

Results
crystal system = orthorhombic
ΔH_f (0 K) = 3.3 eV/f.u.
calculated volume = 19.5 Å³/atom

The structure in POSCAR format:
```
KRu2
1.0
2.788 -7.613 0.000
2.788 7.613 0.000
0.000 0.000 2.753
Ru K
4 2
Cartesian
2.788 1.101 2.065
2.788 -3.222 2.065
2.788 3.222 0.688
2.788 -1.101 0.688
2.788 6.110 2.065
2.788 -6.110 0.688
```